Here is DyZr2N after structural relaxation from the Alexandria database. Energies are from PBE.

Unit cell a=3.2940 b=3.2940 c=8.9978 alpha=79.45 beta=79.45 gamma=60.00
Sites, in units of the cell vectors:
N 0.5000 0.5000 0.5000
Zr 0.1199 0.1199 0.6404
Zr 0.8801 0.8801 0.3596
Dy 0.0000 0.0000 0.0000

Results
Formation energy (no corrections) in meV per atom: -656.5

---

Here is La3GaSi2 after structural relaxation from the Alexandria database. Energies are from PBE.

Unit cell a=4.2671 b=12.2487 c=12.2087 alpha=90.00 beta=90.00 gamma=90.00
Sites, in units of the cell vectors:
La 0.2500 0.3831 0.0615
La 0.7500 0.6169 0.9385
La 0.7500 0.8831 0.4385
La 0.2500 0.1169 0.5615
La 0.2500 0.7065 0.1969
La 0.7500 0.2935 0.8031
La 0.7500 0.2065 0.3031
La 0.2500 0.7935 0.6969
La 0.2500 0.4393 0.3790
La 0.7500 0.5607 0.6210
La 0.7500 0.9393 0.1210
La 0.2500 0.0607 0.8790
Ga 0.2500 0.1342 0.1344
Ga 0.7500 0.8658 0.8656
Ga 0.7500 0.6342 0.3656
Ga 0.2500 0.3658 0.6344
Si 0.2500 0.6852 0.4690
Si 0.7500 0.3148 0.5310
Si 0.7500 0.1852 0.0310
Si 0.2500 0.8148 0.9690
Si 0.2500 0.0144 0.3072
Si 0.7500 0.9856 0.6928
Si 0.7500 0.5144 0.1928
Si 0.2500 0.4856 0.8072

Results
Formation energy (no corrections) in meV per atom: -648.2

---

Here is Pr8GaSe3Br4 after structural relaxation from the Alexandria database. Energies are from PBE.

Unit cell a=8.6308 b=8.7946 c=8.6297 alpha=119.39 beta=120.00 gamma=90.00
Sites, in units of the cell vectors:
Pr 0.2362 0.7127 0.9765
Pr 0.2362 0.7127 0.4724
Pr 0.2637 0.2911 0.5274
Pr 0.7403 0.7127 0.9765
Pr 0.2597 0.2873 0.0235
Pr 0.7363 0.7089 0.4726
Pr 0.7638 0.2873 0.5276
Pr 0.7638 0.2873 0.0235
Ga 0.0000 0.5000 0.0000
Se 0.5000 0.5000 0.0000
Se 0.5000 0.5000 0.5000
Se 0.0000 0.5000 0.5000
Br 0.5000 0.0000 0.0000
Br 0.5000 0.0000 0.5000
Br 0.0000 0.0000 0.0000
Br 0.0000 0.0000 0.5000

Results
Formation energy (no corrections) in meV per atom: -1370.8

---

Here is MnIrRu2 after structural relaxation from the Alexandria database. Energies are from PBE.

Unit cell a=4.6633 b=4.6633 c=4.6633 alpha=132.30 beta=132.30 gamma=69.75
Sites, in units of the cell vectors:
Ir 0.2500 0.7500 0.5000
Mn 0.7500 0.2500 0.5000
Ru 0.0000 0.0000 0.0000
Ru 0.5000 0.5000 0.0000

Results
Polymorph energy (0 for the lowest one) in meV per atom: 29.7
Formation energy in eV per atom: -0.019

---

Here is Y2PPd6 after structural relaxation from the Alexandria database. Energies are from PBE.

Unit cell a=6.1090 b=6.1090 c=6.1090 alpha=60.00 beta=60.00 gamma=60.00
Sites, in units of the cell vectors:
Y 0.2500 0.2500 0.2500
Y 0.7500 0.7500 0.7500
P 0.0000 0.0000 0.0000
Pd 0.2671 0.7329 0.7329
Pd 0.2671 0.7329 0.2671
Pd 0.7329 0.2671 0.7329
Pd 0.7329 0.2671 0.2671
Pd 0.7329 0.7329 0.2671
Pd 0.2671 0.2671 0.7329

Results
Formation energy in eV per atom: -0.848

---

Here is AlAs after structural relaxation from the Alexandria database. Energies are from PBE.

Unit cell a=2.8785 b=2.8785 c=9.2969 alpha=90.00 beta=90.00 gamma=90.00
Sites, in units of the cell vectors:
As 0.2500 0.2500 0.6853
As 0.7500 0.7500 0.3147
Al 0.2500 0.2500 0.1034
Al 0.7500 0.7500 0.8966

Results
Formation energy in eV per atom: 0.106

---

Here is TbEr2Te3 after structural relaxation from the Alexandria database. Energies are from PBE.

Unit cell a=4.3622 b=6.1085 c=7.4957 alpha=114.05 beta=106.92 gamma=90.00
Sites, in units of the cell vectors:
Tb 0.0000 0.5000 0.0000
Er 0.6613 0.1613 0.3227
Er 0.3387 0.8387 0.6773
Te 0.3290 0.3290 0.6580
Te 0.0000 0.0000 0.0000
Te 0.6710 0.6710 0.3420

Results
Formation energy (no corrections) in meV per atom: -1243.1
Polymorph energy (0 for the lowest one) in meV per atom: 23.2

---

Here is AlSNO2 after structural relaxation from the Alexandria database. Energies are from PBE.

Unit cell a=3.5220 b=3.5220 c=4.0070 alpha=90.00 beta=90.00 gamma=90.00
Sites, in units of the cell vectors:
S 0.0000 0.0000 0.0000
Al 0.5000 0.5000 0.5000
O 0.0000 0.5000 0.0000
O 0.5000 0.0000 0.0000
N 0.0000 0.0000 0.5000

Results
Formation energy (no corrections) in meV per atom: 292.4